--- a ---
The following is a DFT calculation (PBE) of a geometry-optimized LaSm3Ga4 structure.

Cell: 3.647 6.984 9.389 Å, 111.81 101.20 90.00°
Sites, in units of the cell vectors:
La 0.500 0.000 0.000
Sm 0.000 0.500 0.000
Sm 0.201 0.201 0.402
Sm 0.799 0.799 0.598
Ga 0.368 0.555 0.736
Ga 0.632 0.445 0.264
Ga 0.632 0.818 0.264
Ga 0.368 0.182 0.736

* ρ: 6645 kg/m³
* space group: Immm (71)

***

--- b ---
The following is a DFT calculation (PBE) of a geometry-optimized LaSm3Ga4 structure.

Cell: 5.208 7.354 10.420 Å, 90.00 90.00 90.00°
Sites, in units of the cell vectors:
Ga 0.500 0.758 0.000
Ga 0.500 0.758 0.500
Ga 0.500 0.242 0.000
Ga 0.500 0.242 0.500
Ga 0.000 0.758 0.750
Ga 0.000 0.758 0.250
Ga 0.000 0.242 0.250
Ga 0.000 0.242 0.750
Sm 0.000 0.000 0.000
Sm 0.000 0.000 0.500
Sm 0.500 0.000 0.750
Sm 0.500 0.000 0.250
Sm 0.500 0.500 0.750
Sm 0.500 0.500 0.250
La 0.000 0.500 0.000
La 0.000 0.500 0.500

* ρ: 7230 kg/m³
* space group: P4/mmm (123)

***

The structure with the least stability is a.

***

--- a ---
The following is a DFT calculation (PBE) of a geometry-optimized La2SmGa6 structure.

Cell: 4.394 7.446 7.446 Å, 120.00 90.00 90.00°
Sites, in units of the cell vectors:
La 0.000 0.333 0.667
La 0.000 0.667 0.333
Sm 0.000 0.000 0.000
Ga 0.500 0.332 0.332
Ga 0.500 0.668 0.668
Ga 0.500 0.000 0.668
Ga 0.500 0.668 0.000
Ga 0.500 0.332 0.000
Ga 0.500 0.000 0.332

* ρ: 6662 kg/m³
* space group: P6/mmm (191)

***

--- b ---
The following is a DFT calculation (PBE) of a geometry-optimized La2SmGa6 structure.

Cell: 4.467 8.151 8.151 Å, 53.05 74.10 74.10°
Sites, in units of the cell vectors:
La 0.363 0.137 0.137
La 0.637 0.863 0.863
Sm 0.500 0.500 0.500
Ga 0.169 0.512 0.150
Ga 0.831 0.488 0.850
Ga 0.831 0.850 0.488
Ga 0.000 0.185 0.815
Ga 0.000 0.815 0.185
Ga 0.169 0.150 0.512

* ρ: 6227 kg/m³
* space group: Immm (71)

***

The structure with the least stability is b.

***

--- a ---
The following is a DFT calculation (PBE) of a geometry-optimized LaSm2Ga6 structure.

Cell: 4.318 7.403 7.403 Å, 120.00 90.00 90.00°
Sites, in units of the cell vectors:
La 0.000 0.000 0.000
Sm 0.000 0.333 0.667
Sm 0.000 0.667 0.333
Ga 0.500 0.335 0.335
Ga 0.500 0.665 0.665
Ga 0.500 0.000 0.665
Ga 0.500 0.665 0.000
Ga 0.500 0.335 0.000
Ga 0.500 0.000 0.335

* ρ: 6952 kg/m³
* space group: P6/mmm (191)

***

--- b ---
The following is a DFT calculation (PBE) of a geometry-optimized LaSm2Ga6 structure.

Cell: 4.445 7.892 7.892 Å, 55.09 73.64 73.64°
Sites, in units of the cell vectors:
La 0.000 0.000 0.000
Sm 0.871 0.629 0.629
Sm 0.129 0.371 0.371
Ga 0.681 0.013 0.624
Ga 0.319 0.987 0.376
Ga 0.319 0.376 0.987
Ga 0.500 0.679 0.321
Ga 0.500 0.321 0.679
Ga 0.681 0.624 0.013

* ρ: 6617 kg/m³
* space group: Immm (71)

***

The structure with the least stability is b.

***

--- a ---
The following is a DFT calculation (PBE) of a geometry-optimized LaSmGa4 structure.

Cell: 4.303 4.303 8.070 Å, 105.46 105.46 90.00°
Sites, in units of the cell vectors:
La 0.250 0.750 0.500
Sm 0.000 0.000 0.000
Ga 0.666 0.166 0.331
Ga 0.582 0.582 0.164
Ga 0.834 0.334 0.669
Ga 0.418 0.418 0.836

* ρ: 6816 kg/m³
* space group: I-4m2 (119)

***

--- b ---
The following is a DFT calculation (PBE) of a geometry-optimized LaSmGa4 structure.

Cell: 5.652 5.652 5.652 Å, 60.00 60.00 60.00°
Sites, in units of the cell vectors:
Ga 0.625 0.625 0.125
Ga 0.625 0.125 0.625
Ga 0.625 0.625 0.625
Ga 0.125 0.625 0.625
Sm 0.250 0.250 0.250
La 0.000 0.000 0.000

* ρ: 7389 kg/m³
* space group: F-43m (216)

***

The structure with the least stability is b.

***

--- a ---
The following is a DFT calculation (PBE) of a geometry-optimized LaSmGaSn structure.

Cell: 4.640 4.278 6.272 Å, 90.00 111.71 90.00°
Sites, in units of the cell vectors:
La 0.138 0.000 0.277
Sm 0.859 0.500 0.718
Ga 0.580 0.500 0.160
Sn 0.423 0.000 0.845

* ρ: 6860 kg/m³
* space group: Amm2 (38)

***

--- b ---
The following is a DFT calculation (PBE) of a geometry-optimized LaSmGaSn structure.

Cell: 5.400 5.400 5.400 Å, 60.00 60.00 60.00°
Sites, in units of the cell vectors:
Ga 0.750 0.750 0.750
Sn 0.250 0.250 0.250
Sm 0.000 0.000 0.000
La 0.500 0.500 0.500

* ρ: 7126 kg/m³
* space group: F-43m (216)

***

The structure with the least stability is b.

***

--- a ---
The following is a DFT calculation (PBE) of a geometry-optimized La2Ga2Sn structure.

Cell: 7.538 7.538 9.349 Å, 90.00 90.00 90.00°
Sites, in units of the cell vectors:
La 0.674 0.826 0.500
La 0.326 0.174 0.500
La 0.826 0.326 0.000
La 0.174 0.674 0.000
La 0.826 0.326 0.500
La 0.174 0.674 0.500
La 0.326 0.174 0.000
La 0.674 0.826 0.000
Ga 0.378 0.878 0.250
Ga 0.622 0.122 0.250
Ga 0.122 0.378 0.750
Ga 0.878 0.622 0.750
Ga 0.878 0.622 0.250
Ga 0.122 0.378 0.250
Ga 0.378 0.878 0.750
Ga 0.622 0.122 0.750
Sn 0.500 0.500 0.250
Sn 0.000 0.000 0.750
Sn 0.500 0.500 0.750
Sn 0.000 0.000 0.250

* ρ: 6702 kg/m³
* space group: P4/mbm (127)

***

--- b ---
The following is a DFT calculation (PBE) of a geometry-optimized La2Ga2Sn structure.

Cell: 4.555 6.301 10.600 Å, 82.44 77.59 68.81°
Sites, in units of the cell vectors:
La 0.708 0.236 0.347
La 0.900 0.293 0.908
La 0.292 0.764 0.653
La 0.100 0.707 0.092
Ga 0.991 0.407 0.611
Ga 0.625 0.858 0.891
Ga 0.009 0.593 0.389
Ga 0.375 0.142 0.109
Sn 0.578 0.167 0.677
Sn 0.422 0.833 0.323

* ρ: 6436 kg/m³
* space group: C2/m (12)

***

The structure with the least stability is b.